First-principles (PBE-GGA) data for crystalline Pr2TiHgO6 at its relaxed geometry, as listed in the Alexandria database.

## Properties
N(E_F)   0.000 states/eV/atom
Total DFT energy (no corrections)   -7.2766 eV/atom
Formation energy without anion corrections   -25.3 eV per formula unit

Cell and atoms, written as CIF:
```
data_Pr2TiHgO6
_symmetry_space_group_name_H-M 'P 4 m m'
_symmetry_Int_Tables_number 99
_symmetry_space_group_name_Hall 'P 4 -2'
_cell_length_a 5.453
_cell_length_b 5.453
_cell_length_c 5.308
_cell_angle_alpha 90.00
_cell_angle_beta 90.00
_cell_angle_gamma 90.00
loop_
_atom_site_label
_atom_site_fract_x
_atom_site_fract_y
_atom_site_fract_z
_atom_site_occupancy
Pr1 0.000 0.500 0.000 1
Ti1 0.000 0.000 0.607 1
Hg1 0.500 0.500 0.525 1
O1 0.000 0.000 0.260 1
O2 0.232 0.232 0.747 1
O3 0.500 0.500 0.128 1
```